(1)
Computed, not measured: a geometry-optimized CeTh5Sn3 structure at the PBE level of DFT.

Lattice parameters (Å, degrees): 8.030 8.030 10.192 113.20 113.20 90.00
Last column: magnetic moment on the atom in μB.
Fractional positions:
1 Th 0.547 0.682 0.729  0.01
2 Th 0.000 0.000 0.000  -0.01
3 Th 0.047 0.547 0.729  0.01
4 Th 0.182 0.047 0.729  0.01
5 Th 0.818 0.953 0.271  0.01
6 Th 0.318 0.818 0.271  0.01
7 Th 0.453 0.318 0.271  0.01
8 Th 0.682 0.182 0.729  0.01
9 Th 0.953 0.453 0.271  0.01
10 Th 0.500 0.500 0.000  -0.01
11 Ce 0.250 0.750 0.500  0.21
12 Ce 0.750 0.250 0.500  0.21
13 Sn 0.875 0.625 0.000  0.00
14 Sn 0.750 0.750 0.500  0.00
15 Sn 0.625 0.125 0.000  0.00
16 Sn 0.125 0.375 0.000  0.00
17 Sn 0.375 0.875 0.000  0.00
18 Sn 0.250 0.250 0.500  0.00


(2)
Computed, not measured: a geometry-optimized CeTh2Sn9 structure at the PBE level of DFT.

Lattice parameters (Å, degrees): 4.745 4.745 14.217 90.00 90.00 90.00
Fractional positions:
1 Sn 0.000 0.500 0.500
2 Sn 0.500 0.000 0.500
3 Sn 0.500 0.500 0.668
4 Sn 0.000 0.500 0.836
5 Sn 0.500 0.500 0.332
6 Sn 0.500 0.000 0.836
7 Sn 0.500 0.000 0.164
8 Sn 0.500 0.500 0.000
9 Sn 0.000 0.500 0.164
10 Ce 0.000 0.000 0.000
11 Th 0.000 0.000 0.668
12 Th 0.000 0.000 0.332


(3)
Computed, not measured: a geometry-optimized Ce6ThSn4 structure at the PBE level of DFT.

Lattice parameters (Å, degrees): 8.037 8.037 8.037 96.03 116.58 116.58
Last column: magnetic moment on the atom in μB.
Fractional positions:
1 Ce 0.231 0.444 0.444  0.86
2 Ce 0.500 0.000 0.500  1.01
3 Ce 0.000 0.786 0.556  0.86
4 Ce 0.500 0.500 0.000  1.01
5 Ce 0.000 0.556 0.786  0.86
6 Ce 0.769 0.214 0.214  0.86
7 Sn 0.000 0.641 0.171  -0.03
8 Sn 0.470 0.829 0.829  -0.03
9 Sn 0.530 0.359 0.359  -0.03
10 Sn 0.000 0.171 0.641  -0.03
11 Th 0.000 0.000 0.000  0.15


(4)
Computed, not measured: a geometry-optimized Ce5ThSn3 structure at the PBE level of DFT.

Lattice parameters (Å, degrees): 6.615 9.507 9.507 120.00 90.00 90.00
Last column: magnetic moment on the atom in μB.
Fractional positions:
1 Sn 0.750 0.000 0.668  -0.03
2 Sn 0.250 0.000 0.332  -0.03
3 Sn 0.250 0.332 0.000  -0.03
4 Sn 0.750 0.668 0.000  -0.03
5 Sn 0.250 0.668 0.668  -0.03
6 Sn 0.750 0.332 0.332  -0.03
7 Ce 0.000 0.667 0.333  1.20
8 Ce 0.250 0.000 0.665  0.79
9 Ce 0.750 0.335 0.000  0.79
10 Ce 0.000 0.333 0.667  1.20
11 Ce 0.500 0.667 0.333  1.20
12 Ce 0.750 0.000 0.335  0.79
13 Ce 0.500 0.333 0.667  1.20
14 Ce 0.250 0.665 0.000  0.79
15 Ce 0.250 0.335 0.335  0.79
16 Ce 0.750 0.665 0.665  0.79
17 Th 0.000 0.000 0.000  0.02
18 Th 0.500 0.000 0.000  0.02


(5)
Computed, not measured: a geometry-optimized CeTh3Sn5 structure at the PBE level of DFT.

Lattice parameters (Å, degrees): 6.379 9.663 9.663 120.00 90.00 90.00
Fractional positions:
1 Th 0.250 0.617 0.000
2 Th 0.750 0.617 0.617
3 Th 0.750 0.383 0.000
4 Th 0.250 0.000 0.617
5 Th 0.250 0.383 0.383
6 Th 0.750 0.000 0.383
7 Sn 0.500 0.333 0.667
8 Sn 0.250 0.283 0.000
9 Sn 0.000 0.667 0.333
10 Sn 0.250 0.717 0.717
11 Sn 0.250 0.000 0.283
12 Sn 0.500 0.667 0.333
13 Sn 0.750 0.000 0.717
14 Sn 0.000 0.333 0.667
15 Sn 0.750 0.283 0.283
16 Sn 0.750 0.717 0.000
17 Ce 0.000 0.000 0.000
18 Ce 0.500 0.000 0.000


(6)
Computed, not measured: a geometry-optimized Ce9ThSn2 structure at the PBE level of DFT.

Lattice parameters (Å, degrees): 4.768 4.768 14.568 90.00 90.00 90.00
Last column: magnetic moment on the atom in μB.
Fractional positions:
1 Ce 0.500 0.500 0.334  0.76
2 Ce 0.500 0.000 0.500  0.77
3 Ce 0.000 0.500 0.500  0.77
4 Ce 0.500 0.000 0.170  0.46
5 Ce 0.500 0.500 0.666  0.76
6 Ce 0.500 0.000 0.830  0.46
7 Ce 0.000 0.500 0.170  0.46
8 Ce 0.500 0.500 0.000  0.11
9 Ce 0.000 0.500 0.830  0.46
10 Sn 0.000 0.000 0.335  -0.02
11 Sn 0.000 0.000 0.665  -0.02
12 Th 0.000 0.000 0.000  0.01


(7)
Computed, not measured: a geometry-optimized Ce5ThSn4 structure at the PBE level of DFT.

Lattice parameters (Å, degrees): 4.142 4.142 16.496 90.00 90.00 90.00
Last column: magnetic moment on the atom in μB.
Fractional positions:
1 Ce 0.500 0.500 0.876  0.48
2 Ce 0.500 0.500 0.305  0.70
3 Ce 0.500 0.500 0.124  0.48
4 Ce 0.500 0.500 0.500  0.71
5 Ce 0.500 0.500 0.695  0.70
6 Sn 0.000 0.000 0.205  -0.02
7 Sn 0.000 0.000 0.795  -0.02
8 Sn 0.000 0.000 0.402  -0.03
9 Sn 0.000 0.000 0.598  -0.03
10 Th 0.000 0.000 0.000  0.03


(8)
Computed, not measured: a geometry-optimized Ce3ThSn12 structure at the PBE level of DFT.

Lattice parameters (Å, degrees): 4.748 4.748 18.711 90.00 90.00 90.00
Last column: magnetic moment on the atom in μB.
Fractional positions:
1 Ce 0.000 0.000 0.749  0.12
2 Ce 0.000 0.000 0.500  0.11
3 Ce 0.000 0.000 0.251  0.12
4 Sn 0.000 0.500 0.624  0.00
5 Sn 0.500 0.000 0.127  0.00
6 Sn 0.500 0.500 0.500  0.00
7 Sn 0.500 0.000 0.624  0.00
8 Sn 0.500 0.500 0.000  0.00
9 Sn 0.500 0.500 0.251  0.00
10 Sn 0.000 0.500 0.873  0.00
11 Sn 0.000 0.500 0.376  0.00
12 Sn 0.500 0.000 0.873  0.00
13 Sn 0.000 0.500 0.127  0.00
14 Sn 0.500 0.000 0.376  0.00
15 Sn 0.500 0.500 0.749  0.00
16 Th 0.000 0.000 0.000  0.00


(9)
Computed, not measured: a geometry-optimized Ce4ThSn structure at the PBE level of DFT.

Lattice parameters (Å, degrees): 6.359 6.359 9.541 90.00 90.00 120.00
Last column: magnetic moment on the atom in μB.
Fractional positions:
1 Ce 0.819 0.637 0.274  0.36
2 Ce 0.000 0.000 0.000  0.53
3 Ce 0.637 0.819 0.726  0.36
4 Ce 0.181 0.363 0.726  0.36
5 Ce 0.819 0.181 0.274  0.36
6 Ce 0.181 0.819 0.726  0.36
7 Ce 0.000 0.000 0.500  0.58
8 Ce 0.363 0.181 0.274  0.36
9 Th 0.333 0.667 0.054  0.01
10 Th 0.667 0.333 0.946  0.01
11 Sn 0.333 0.667 0.412  -0.01
12 Sn 0.667 0.333 0.588  -0.01


(10)
Computed, not measured: a geometry-optimized Ce2Th3Sn3 structure at the PBE level of DFT.

Lattice parameters (Å, degrees): 6.235 9.432 9.432 120.00 90.00 90.00
Last column: magnetic moment on the atom in μB.
Fractional positions:
1 Th 0.250 0.000 0.754  0.00
2 Th 0.250 0.246 0.246  0.00
3 Th 0.250 0.754 0.000  0.00
4 Th 0.750 0.754 0.754  0.00
5 Th 0.750 0.246 0.000  0.00
6 Th 0.750 0.000 0.246  0.00
7 Ce 0.500 0.333 0.667  0.76
8 Ce 0.000 0.333 0.667  0.76
9 Ce 0.500 0.667 0.333  0.76
10 Ce 0.000 0.667 0.333  0.76
11 Sn 0.750 0.607 0.000  -0.02
12 Sn 0.750 0.393 0.393  -0.02
13 Sn 0.750 0.000 0.607  -0.02
14 Sn 0.250 0.000 0.393  -0.02
15 Sn 0.250 0.393 0.000  -0.02
16 Sn 0.250 0.607 0.607  -0.02


(11)
Computed, not measured: a geometry-optimized CeThSn structure at the PBE level of DFT.

Lattice parameters (Å, degrees): 3.304 5.337 5.337 120.00 90.00 90.00
Last column: magnetic moment on the atom in μB.
Fractional positions:
1 Th 0.167 0.333 0.667  0.05
2 Sn 0.667 0.667 0.333  -0.01
3 Ce 0.166 0.000 0.000  0.25


(12)
Computed, not measured: a geometry-optimized Ce3ThSn4 structure at the PBE level of DFT.

Lattice parameters (Å, degrees): 4.148 4.148 12.996 90.00 90.00 90.00
Last column: magnetic moment on the atom in μB.
Fractional positions:
1 Sn 0.000 0.000 0.377  -0.02
2 Sn 0.000 0.000 0.872  -0.01
3 Sn 0.000 0.000 0.623  -0.02
4 Sn 0.000 0.000 0.128  -0.01
5 Ce 0.500 0.500 0.500  0.60
6 Ce 0.500 0.500 0.746  0.49
7 Ce 0.500 0.500 0.254  0.49
8 Th 0.500 0.500 0.000  -0.04


Per-record DFT formation energy, eV per atom: -0.18; -0.48; -0.16; -0.47; -0.56; -0.25; -0.47; -0.52; -0.05; -0.50; -0.15; -0.58
Per-record calculated volume, Å³/atom: 30.324; 26.669; 34.886; 28.768; 28.660; 27.604; 28.295; 26.367; 27.844; 30.021; 27.172; 27.950